No. 1
## Tb2PrCd4 (PBE-GGA)

Data for Tb2PrCd4 after structural relaxation.

a b c (Å): 5.330 5.330 14.503
angles (deg): 90.00 90.00 90.00
Space group I4/mmm (No. 139)
Unique sites:
Tb: 0.000 0.000 0.243 x4
Pr: 0.000 0.000 0.500 x2
Cd: 0.000 0.500 0.121 x8

Summary:
Total energy in eV per atom: -2.68
Magnetization in μB per cell: 0.6
DOS at the Fermi energy in states/eV per atom: 0.741

No. 2
## Co2GeRuN (PBE-GGA)

Data for Co2GeRuN after structural relaxation.

a b c (Å): 3.753 3.753 4.119
angles (deg): 90.00 90.00 90.00
Space group P4/mmm (No. 123)
Unique sites:
Co: 0.000 0.500 0.000 x2
Ge: 0.000 0.000 0.500 x1
Ru: 0.500 0.500 0.500 x1
N: 0.500 0.500 0.000 x1

Summary:
Magnetization in μB per cell: 2.3
DOS at the Fermi energy in states/eV per atom: 0.953
Formation energy (no corrections) in eV/atom: 0.103

Question: The lowest DOS at the Fermi energy belongs to which entry?
Answer: Tb2PrCd4